1.
## LiScI2 (PBE)

Data for a geometry-optimized LiScI2 structure.

Computed properties:
- excess energy over the best structure of this formula in the dataset (eV per atom) = 0.0000
- space-group type = R-3m, No. 166
- formation energy from raw total energies (eV per atom) = -0.71
- magnetization (μB per formula unit) = 0.0

POSCAR file:
```
LiScI2
1.0
-3.094 2.298 -0.382
-2.269 0.717 3.056
2.736 7.406 2.749
Li Sc I
1 1 2
direct
0.000 0.000 0.000
0.500 0.500 0.500
0.746 0.746 0.761
0.254 0.254 0.239
```


2.
## TlW2Au (PBE)

Data for a geometry-optimized TlW2Au structure.

Computed properties:
- excess energy over the best structure of this formula in the dataset (eV per atom) = 0.1388
- space-group type = Pm, No. 6
- calculated formation energy (eV per atom) = 0.65
- magnetization (μB per formula unit) = 0.0

POSCAR file:
```
TlW2Au
1.0
-2.687 -3.089 -1.013
2.202 -1.533 -1.166
3.241 -4.183 4.163
W Tl Au
2 1 1
direct
0.000 0.067 0.034
0.500 0.192 0.231
0.500 0.775 0.746
0.000 0.466 0.489
```


| no. | D(E_F) (states/eV/cell) |
| --- | --- |
| 1 | 1.6 |
| 2 | 1.8 |